Material: CaRuW2
Method: DFT, SCAN
State: PBEsol geometry

Lattice parameters (Å, degrees): 2.756 4.563 5.337 90.00 90.00 90.00
Atoms (fractional coordinates):
Ca 0.000 0.000 0.000
Ru 0.000 0.000 0.500
W 0.500 0.500 0.261
W 0.500 0.500 0.739

Calculated values
Calculated total energy (eV per atom): -45.096
Density of states at the Fermi level (states/eV/cell): 3.64
Calculated formation energy (kJ/mol of formula units): 336
Polymorph energy (0 for the lowest one) (meV per atom): 388
Symmetry: Pmmm (47)